Record 1
A relaxed structure of Tm3Cd2Hg. Source: the Alexandria database, functional PBE. Values from VASP.

Output
E_tot, eV/atom: -2.959
Space-group type: P4/mmm

The structure in Quantum ESPRESSO input format:
```
&SYSTEM
  ibrav = 0, nat = 6, ntyp = 3
/
ATOMIC_SPECIES
Tm 168.93 Tm.upf
Cd 112.41 Cd.upf
Hg 200.59 Hg.upf
CELL_PARAMETERS angstrom
-0.4502 -2.1084 -3.0005
-1.5504 -2.6301 2.0807
-9.9176 4.5141 -1.6838
ATOMIC_POSITIONS crystal
Tm 0.0000 0.0000 0.0000
Tm 0.0000 0.0000 0.6640
Tm 0.0000 0.0000 0.3360
Cd 0.5000 0.5000 0.8345
Cd 0.5000 0.5000 0.1655
Hg 0.5000 0.5000 0.5000
```

***

Record 2
A relaxed structure of Tm4CdHg2. Source: the Alexandria database, functional PBE. Values from VASP.

Output
E_tot, eV/atom: -2.874
Space-group type: R-3m
Energy above the most stable polymorph in this dataset, meV/atom: 163

The structure in Quantum ESPRESSO input format:
```
&SYSTEM
  ibrav = 0, nat = 7, ntyp = 3
/
ATOMIC_SPECIES
Tm 168.93 Tm.upf
Cd 112.41 Cd.upf
Hg 200.59 Hg.upf
CELL_PARAMETERS angstrom
-0.8652 -3.9528 -2.8905
3.0820 -1.0551 -3.7571
5.9700 -7.0590 3.5889
ATOMIC_POSITIONS crystal
Tm 0.3805 0.3805 0.8585
Tm 0.2046 0.2046 0.3863
Tm 0.7954 0.7954 0.6137
Tm 0.6195 0.6195 0.1415
Cd 0.0000 0.0000 0.0000
Hg 0.1000 0.1000 0.6999
Hg 0.9000 0.9000 0.3001
```

***

Record 3
A relaxed structure of Tm3Cd2Hg3. Source: the Alexandria database, functional PBE. Values from VASP.

Output
E_tot, eV/atom: -2.366
Space-group type: Immm
Energy above the most stable polymorph in this dataset, meV/atom: 0

The structure in Quantum ESPRESSO input format:
```
&SYSTEM
  ibrav = 0, nat = 8, ntyp = 3
/
ATOMIC_SPECIES
Tm 168.93 Tm.upf
Cd 112.41 Cd.upf
Hg 200.59 Hg.upf
CELL_PARAMETERS angstrom
3.7353 0.0000 0.0000
0.0000 5.1348 0.0000
-1.8677 -2.5674 10.1265
ATOMIC_POSITIONS crystal
Tm 0.6296 0.6296 0.2592
Tm 0.3704 0.3704 0.7408
Tm 0.5000 0.0000 0.0000
Cd 0.7414 0.2414 0.4827
Cd 0.2586 0.7586 0.5173
Hg 0.1212 0.1212 0.2425
Hg 0.0000 0.5000 0.0000
Hg 0.8788 0.8788 0.7575
```

***

Record 4
A relaxed structure of TmCd2Hg. Source: the Alexandria database, functional PBE. Values from VASP.

Output
E_tot, eV/atom: -1.488
Space-group type: R-3m
Energy above the most stable polymorph in this dataset, meV/atom: 437

The structure in Quantum ESPRESSO input format:
```
&SYSTEM
  ibrav = 0, nat = 4, ntyp = 3
/
ATOMIC_SPECIES
Tm 168.93 Tm.upf
Hg 200.59 Hg.upf
Cd 112.41 Cd.upf
CELL_PARAMETERS angstrom
3.2699 0.0000 0.0000
1.6350 2.8318 0.0000
1.6350 0.9439 11.3864
ATOMIC_POSITIONS crystal
Tm 0.0000 0.0000 0.0000
Hg 0.5000 0.5000 0.5000
Cd 0.0908 0.0908 0.7277
Cd 0.9092 0.9092 0.2723
```

***

What is the E_tot in the first record?
-2.959 eV/atom

***

What is the E_tot in the second record?
-2.874 eV/atom

***

Look up the E_tot of the first one.
-2.959 eV/atom